Density functional theory data (PBE) for a relaxed structure of BC.

POSCAR file:
```
BC
1.0
3.597 0.000 0.000
0.000 3.597 0.000
0.000 0.000 3.597
B C
4 4
Direct
0.000 0.000 0.000
0.000 0.500 0.500
0.500 0.000 0.500
0.500 0.500 0.000
0.000 0.000 0.500
0.000 0.500 0.000
0.500 0.000 0.000
0.500 0.500 0.500
```

Calculated values
The calculated total energy is -51.89 eV for the cell shown. The value obtained for the formation energy is 1465 meV per atom. As for the energy above the most stable polymorph in this dataset: 1314 meV per atom. The space-group type is Fm-3m. For the total moment, the calculation gives 0.0 μB/f.u.

=====

Density functional theory data (PBE) for a relaxed structure of BC.

POSCAR file:
```
BC
1.0
6.193 -1.268 0.000
6.193 1.268 0.000
-1.179 0.000 5.163
B C
6 6
Direct
0.000 0.000 0.000
0.013 0.013 0.563
0.093 0.093 0.328
0.408 0.408 0.471
0.689 0.689 0.332
0.763 0.763 0.675
0.106 0.106 0.830
0.340 0.340 0.702
0.341 0.341 0.173
0.416 0.416 0.971
0.675 0.675 0.871
0.767 0.767 0.135
```

Calculated values
The calculated total energy is -89.88 eV for the cell shown. The value obtained for the formation energy is 461 meV per atom. As for the energy above the most stable polymorph in this dataset: 310 meV per atom. The space-group type is Cm. For the total moment, the calculation gives 0.0 μB/f.u.

=====

Density functional theory data (PBE) for a relaxed structure of BC.

POSCAR file:
```
BC
1.0
1.454 0.000 0.000
-0.220 3.830 0.000
-0.586 -0.097 5.150
B C
1 1
Direct
0.000 0.000 0.000
0.375 0.993 0.693
```

Calculated values
The calculated total energy is -12.82 eV for the cell shown. The value obtained for the formation energy is 1543 meV per atom. As for the energy above the most stable polymorph in this dataset: 1392 meV per atom. The space-group type is P1. For the total moment, the calculation gives 0.0 μB/f.u.

=====

Density functional theory data (PBE) for a relaxed structure of BC.

POSCAR file:
```
BC
1.0
4.317 0.000 0.000
1.049 4.335 0.000
1.781 0.853 4.381
B C
6 6
Direct
0.085 0.163 0.366
0.306 0.821 0.802
0.344 0.718 0.371
0.656 0.282 0.629
0.694 0.179 0.198
0.915 0.837 0.634
0.017 0.325 0.021
0.303 0.176 0.781
0.345 0.341 0.423
0.655 0.659 0.577
0.697 0.824 0.219
0.983 0.675 0.979
```

Calculated values
The calculated total energy is -91.28 eV for the cell shown. The value obtained for the formation energy is 344 meV per atom. As for the energy above the most stable polymorph in this dataset: 194 meV per atom. The space-group type is P-1. For the total moment, the calculation gives 0.0 μB/f.u.

=====

Density functional theory data (PBE) for a relaxed structure of B3C.

POSCAR file:
```
B3C
1.0
2.174 0.000 0.000
0.000 2.609 0.000
0.000 0.000 14.432
B C
9 3
Direct
0.000 0.000 0.000
0.000 0.000 0.298
0.000 0.000 0.632
0.000 0.500 0.387
0.000 0.500 0.718
0.500 0.000 0.901
0.500 0.500 0.151
0.500 0.500 0.485
0.500 0.500 0.815
0.000 0.500 0.063
0.500 0.000 0.215
0.500 0.000 0.548
```

Calculated values
The calculated total energy is -82.68 eV for the cell shown. The value obtained for the formation energy is 424 meV per atom. As for the energy above the most stable polymorph in this dataset: 184 meV per atom. The space-group type is Pmm2. For the total moment, the calculation gives 0.0 μB/f.u.

=====

Density functional theory data (PBE) for a relaxed structure of B7C5.

POSCAR file:
```
B7C5
1.0
2.695 0.000 0.000
-1.347 2.334 0.000
0.000 0.000 19.402
B C
7 5
Direct
0.000 0.000 0.000
0.000 0.000 0.219
0.000 0.000 0.773
0.333 0.667 0.394
0.333 0.667 0.861
0.667 0.333 0.566
0.667 0.333 0.913
0.000 0.000 0.566
0.333 0.667 0.219
0.333 0.667 0.780
0.667 0.333 0.394
0.667 0.333 0.994
```

Calculated values
The calculated total energy is -88.25 eV for the cell shown. The value obtained for the formation energy is 385 meV per atom. As for the energy above the most stable polymorph in this dataset: 220 meV per atom. The space-group type is P3m1. For the total moment, the calculation gives 0.0 μB/f.u.

=====

Density functional theory data (PBE) for a relaxed structure of BC.

POSCAR file:
```
BC
1.0
2.527 0.000 0.000
-1.263 2.188 0.000
0.000 0.000 14.331
B C
6 6
Direct
0.000 0.000 0.000
0.000 0.000 0.116
0.000 0.000 0.593
0.333 0.667 0.191
0.333 0.667 0.668
0.667 0.333 0.925
0.000 0.000 0.483
0.333 0.667 0.302
0.333 0.667 0.778
0.667 0.333 0.338
0.667 0.333 0.446
0.667 0.333 0.815
```

Calculated values
The calculated total energy is -90.89 eV for the cell shown. The value obtained for the formation energy is 377 meV per atom. As for the energy above the most stable polymorph in this dataset: 226 meV per atom. The space-group type is P3m1. For the total moment, the calculation gives 0.0 μB/f.u.

=====

Density functional theory data (PBE) for a relaxed structure of B7C5.

POSCAR file:
```
B7C5
1.0
4.040 0.000 0.000
0.000 2.577 0.000
-0.374 0.000 8.434
B C
7 5
Direct
0.000 0.000 0.000
0.026 0.000 0.257
0.103 0.000 0.654
0.403 0.000 0.522
0.562 0.500 0.128
0.618 0.500 0.437
0.789 0.500 0.650
0.297 0.000 0.127
0.393 0.000 0.777
0.576 0.500 0.815
0.797 0.500 0.964
0.835 0.500 0.297
```

Calculated values
The calculated total energy is -87.89 eV for the cell shown. The value obtained for the formation energy is 414 meV per atom. As for the energy above the most stable polymorph in this dataset: 250 meV per atom. The space-group type is Pm. For the total moment, the calculation gives 0.0 μB/f.u.

=====

Density functional theory data (PBE) for a relaxed structure of BC.

POSCAR file:
```
BC
1.0
6.781 -1.296 0.000
6.781 1.296 0.000
-1.240 0.000 4.604
B C
6 6
Direct
0.000 0.000 0.000
0.294 0.294 0.938
0.303 0.303 0.583
0.424 0.424 0.796
0.500 0.500 0.442
0.658 0.658 0.292
0.120 0.120 0.061
0.157 0.157 0.777
0.618 0.618 0.595
0.783 0.783 0.403
0.833 0.833 0.160
0.947 0.947 0.272
```

Calculated values
The calculated total energy is -90.39 eV for the cell shown. The value obtained for the formation energy is 418 meV per atom. As for the energy above the most stable polymorph in this dataset: 267 meV per atom. The space-group type is Cm. For the total moment, the calculation gives 0.0 μB/f.u.

=====

Density functional theory data (PBE) for a relaxed structure of BC.

POSCAR file:
```
BC
1.0
3.882 0.000 0.000
0.000 2.497 0.000
-0.825 0.000 8.231
B C
6 6
Direct
0.000 0.000 0.000
0.003 0.000 0.333
0.048 0.000 0.637
0.314 0.000 0.870
0.567 0.500 0.791
0.645 0.500 0.011
0.219 0.000 0.178
0.286 0.000 0.494
0.454 0.500 0.178
0.518 0.500 0.488
0.707 0.500 0.333
0.784 0.500 0.646
```

Calculated values
The calculated total energy is -90.23 eV for the cell shown. The value obtained for the formation energy is 432 meV per atom. As for the energy above the most stable polymorph in this dataset: 281 meV per atom. The space-group type is Pm. For the total moment, the calculation gives 0.0 μB/f.u.

=====

Density functional theory data (PBE) for a relaxed structure of B7C5.

POSCAR file:
```
B7C5
1.0
3.692 0.000 0.000
-1.644 4.218 0.000
-0.215 -1.741 5.216
B C
7 5
Direct
0.000 0.000 0.000
0.004 0.977 0.533
0.072 0.619 0.941
0.081 0.588 0.398
0.316 0.770 0.699
0.417 0.380 0.564
0.570 0.277 0.823
0.344 0.632 0.172
0.419 0.316 0.097
0.655 0.287 0.317
0.732 0.956 0.258
0.772 0.020 0.764
```

Calculated values
The calculated total energy is -87.21 eV for the cell shown. The value obtained for the formation energy is 471 meV per atom. As for the energy above the most stable polymorph in this dataset: 307 meV per atom. The space-group type is P1. For the total moment, the calculation gives 0.0 μB/f.u.

=====

Density functional theory data (PBE) for a relaxed structure of BC.

POSCAR file:
```
BC
1.0
3.687 0.000 0.000
0.000 2.595 0.000
-0.686 0.000 9.497
B C
6 6
Direct
0.000 0.000 0.000
0.028 0.000 0.292
0.168 0.000 0.590
0.442 0.500 0.180
0.652 0.500 0.785
0.769 0.500 0.595
0.237 0.000 0.143
0.303 0.000 0.435
0.535 0.000 0.693
0.540 0.500 0.435
0.751 0.500 0.304
0.881 0.500 0.922
```

Calculated values
The calculated total energy is -90.32 eV for the cell shown. The value obtained for the formation energy is 424 meV per atom. As for the energy above the most stable polymorph in this dataset: 273 meV per atom. The space-group type is Pm. For the total moment, the calculation gives 0.0 μB/f.u.

=====

Question: Among the records above, which one has the highest energy above the most stable polymorph in this dataset?
Answer: number 3

=====

Question: Which of these has the highest formation energy?
Answer: number 3

=====

Copy entry 8 word for word.
Density functional theory data (PBE) for a relaxed structure of B7C5.

POSCAR file:
```
B7C5
1.0
4.040 0.000 0.000
0.000 2.577 0.000
-0.374 0.000 8.434
B C
7 5
Direct
0.000 0.000 0.000
0.026 0.000 0.257
0.103 0.000 0.654
0.403 0.000 0.522
0.562 0.500 0.128
0.618 0.500 0.437
0.789 0.500 0.650
0.297 0.000 0.127
0.393 0.000 0.777
0.576 0.500 0.815
0.797 0.500 0.964
0.835 0.500 0.297
```

Calculated values
The calculated total energy is -87.89 eV for the cell shown. The value obtained for the formation energy is 414 meV per atom. As for the energy above the most stable polymorph in this dataset: 250 meV per atom. The space-group type is Pm. For the total moment, the calculation gives 0.0 μB/f.u.

=====

Question: Which value of formation energy does entry 10 give?
Answer: 432 meV per atom